Entry 1:
VASP calculation (PBE) on a relaxed structure of Re3BiH.

Cell lengths 4.137, 4.137, 4.137 Å; angles 90.00, 90.00, 90.00 degrees
Sites, in units of the cell vectors:
Re 0.000 0.000 0.500
Re 0.000 0.500 0.000
Re 0.500 0.000 0.000
Bi 0.500 0.500 0.500
H 0.000 0.000 0.000

Output
energy above the most stable polymorph in this dataset	0.000	eV per formula unit
density	18.0	g/cm³
raw total energy	-39.465	eV/cell
symmetry	Pm-3m (221)

Entry 2:
VASP calculation (PBE) on a relaxed structure of Re2BiH.

Cell lengths 4.456, 4.456, 4.456 Å; angles 60.00, 60.00, 60.00 degrees
Sites, in units of the cell vectors:
Re 0.250 0.250 0.250
Re 0.750 0.750 0.750
Bi 0.000 0.000 0.000
H 0.500 0.500 0.500

Output
energy above the most stable polymorph in this dataset	3.347	eV per formula unit
density	15.5	g/cm³
raw total energy	-25.229	eV/cell
symmetry	Fm-3m (225)

Entry 3:
VASP calculation (PBE) on a relaxed structure of Re2BiH.

Cell lengths 6.148, 6.148, 6.148 Å; angles 131.40, 131.40, 71.18 degrees
Sites, in units of the cell vectors:
Re 0.375 0.188 0.313
Re 0.812 0.125 0.187
Re 0.875 0.062 0.687
Re 0.938 0.625 0.813
Bi 0.250 0.750 0.500
Bi 0.500 0.500 0.000
H 0.000 0.000 0.000
H 0.750 0.250 0.500

Output
energy above the most stable polymorph in this dataset	0.000	eV per formula unit
density	15.1	g/cm³
raw total energy	-57.151	eV/cell
symmetry	I-42d (122)

Entry 4:
VASP calculation (PBE) on a relaxed structure of ReBiHRh2.

Cell lengths 4.745, 4.745, 5.308 Å; angles 90.00, 90.00, 90.00 degrees
Sites, in units of the cell vectors:
Re 0.000 0.000 0.000
Bi 0.000 0.000 0.500
H 0.500 0.500 0.500
Rh 0.000 0.500 0.000
Rh 0.500 0.000 0.000

Output
density	8.4	g/cm³
raw total energy	-26.306	eV/cell
symmetry	P4/mmm (123)

Entry 5:
VASP calculation (PBE) on a relaxed structure of ReBiH2W.

Cell lengths 3.768, 3.768, 5.474 Å; angles 90.00, 90.00, 90.00 degrees
Sites, in units of the cell vectors:
Re 0.000 0.000 0.000
Bi 0.500 0.500 0.000
H 0.000 0.500 0.500
H 0.500 0.000 0.500
W 0.500 0.500 0.500

Output
density	12.4	g/cm³
raw total energy	-27.884	eV/cell
symmetry	P4/mmm (123)

Entry 6:
VASP calculation (PBE) on a relaxed structure of YReBi2H.

Cell lengths 5.223, 5.223, 5.575 Å; angles 90.00, 90.00, 90.00 degrees
Sites, in units of the cell vectors:
Y 0.000 0.000 0.000
Re 0.000 0.000 0.500
Bi 0.000 0.500 0.500
Bi 0.500 0.000 0.500
H 0.500 0.500 0.000

Output
density	7.6	g/cm³
raw total energy	-26.360	eV/cell
symmetry	P4/mmm (123)

| no. | total magnetic moment (μB per formula unit) |
| --- | --- |
| 1 | 0.04 |
| 2 | 0.00 |
| 3 | 0.00 |
| 4 | 0.85 |
| 5 | 0.00 |
| 6 | 0.00 |